[1]
Entry from Alexandria via LeMat-Bulk: crystalline CsMg2Au2 at its relaxed geometry (GGA-PBE).

Cell lengths 8.728, 8.728, 3.235 Å; angles 90.00, 90.00, 90.00 degrees
Element x y z (fractional)
Cs  0.000  0.000  0.000
Cs  0.500  0.500  0.000
Mg  0.377  0.877  0.000
Mg  0.877  0.623  0.000
Mg  0.623  0.123  0.000
Mg  0.123  0.377  0.000
Au  0.158  0.658  0.500
Au  0.658  0.842  0.500
Au  0.842  0.342  0.500
Au  0.342  0.158  0.500

Computed properties:
Crystal system: tetragonal
Offset from the most stable computed form (kJ/mol of atoms): 9.0
Energy of formation from the pure elements (meV/atom): -228

***

[2]
Entry from Alexandria via LeMat-Bulk: crystalline Ba12Pb3N5 at its relaxed geometry (GGA-PBE).

Cell lengths 15.794, 15.794, 15.794 Å; angles 109.47, 109.47, 109.47 degrees
Last column: magnetic moment on the atom in μB.
Element x y z (fractional)
Pb  0.750  0.375  0.125  0.08
Pb  0.875  0.750  0.125  0.08
Pb  0.375  0.750  0.625  0.08
Pb  0.250  0.125  0.375  0.08
Pb  0.875  0.125  0.250  0.08
Pb  0.375  0.625  0.250  0.08
Pb  0.625  0.375  0.750  0.08
Pb  0.125  0.875  0.750  0.08
Pb  0.750  0.875  0.625  0.08
Pb  0.625  0.250  0.375  0.08
Pb  0.125  0.250  0.875  0.08
Pb  0.250  0.625  0.875  0.08
N  0.125  0.375  0.250  0.10
N  0.000  0.500  0.000  0.17
N  0.000  0.000  0.000  0.17
N  0.375  0.250  0.125  0.10
N  0.500  0.000  0.500  0.17
N  0.500  0.500  0.000  0.17
N  0.125  0.750  0.375  0.10
N  0.750  0.125  0.875  0.10
N  0.750  0.625  0.375  0.10
N  0.375  0.125  0.750  0.10
N  0.625  0.875  0.250  0.10
N  0.500  0.500  0.500  0.17
N  0.500  0.000  0.000  0.17
N  0.000  0.000  0.500  0.17
N  0.250  0.375  0.625  0.10
N  0.250  0.875  0.125  0.10
N  0.000  0.500  0.500  0.17
N  0.875  0.250  0.625  0.10
N  0.625  0.750  0.875  0.10
N  0.875  0.625  0.750  0.10
Ba  0.696  0.114  0.012  0.01
Ba  0.316  0.512  0.399  0.01
Ba  0.988  0.386  0.304  0.01
Ba  0.512  0.196  0.114  0.01
Ba  0.583  0.696  0.684  0.01
Ba  0.988  0.601  0.184  0.01
Ba  0.316  0.804  0.417  0.01
Ba  0.101  0.917  0.114  0.01
Ba  0.601  0.988  0.684  0.01
Ba  0.696  0.583  0.184  0.01
Ba  0.804  0.488  0.386  0.01
Ba  0.816  0.899  0.012  0.01
Ba  0.114  0.696  0.512  0.01
Ba  0.386  0.399  0.083  0.01
Ba  0.083  0.899  0.386  0.01
Ba  0.417  0.114  0.601  0.01
Ba  0.083  0.184  0.196  0.01
Ba  0.488  0.684  0.101  0.01
Ba  0.816  0.917  0.304  0.01
Ba  0.114  0.417  0.101  0.01
Ba  0.386  0.988  0.804  0.01
Ba  0.601  0.614  0.417  0.01
Ba  0.899  0.816  0.512  0.01
Ba  0.804  0.316  0.917  0.01
Ba  0.399  0.386  0.583  0.01
Ba  0.101  0.184  0.488  0.01
Ba  0.196  0.684  0.083  0.01
Ba  0.184  0.083  0.696  0.01
Ba  0.614  0.012  0.196  0.01
Ba  0.886  0.583  0.899  0.01
Ba  0.512  0.316  0.899  0.01
Ba  0.583  0.886  0.399  0.01
Ba  0.917  0.816  0.804  0.01
Ba  0.917  0.101  0.614  0.01
Ba  0.886  0.304  0.488  0.01
Ba  0.184  0.101  0.988  0.01
Ba  0.614  0.601  0.917  0.01
Ba  0.399  0.012  0.316  0.01
Ba  0.304  0.417  0.816  0.01
Ba  0.196  0.512  0.614  0.01
Ba  0.899  0.083  0.886  0.01
Ba  0.684  0.196  0.583  0.01
Ba  0.488  0.804  0.886  0.01
Ba  0.012  0.399  0.816  0.01
Ba  0.417  0.304  0.316  0.01
Ba  0.012  0.614  0.696  0.01
Ba  0.684  0.488  0.601  0.01
Ba  0.304  0.886  0.988  0.01

Computed properties:
Crystal system: cubic
Uncorrected formation energy (eV per atom): -0.331

***

[3]
Entry from Alexandria via LeMat-Bulk: crystalline TaMnMo4 at its relaxed geometry (GGA-PBE).

Cell lengths 5.227, 5.227, 5.227 Å; angles 60.00, 60.00, 60.00 degrees
Last column: magnetic moment on the atom in μB.
Element x y z (fractional)
Ta  0.250  0.250  0.250  0.05
Mn  0.000  0.000  0.000  3.51
Mo  0.625  0.625  0.125  0.00
Mo  0.625  0.125  0.625  0.00
Mo  0.625  0.625  0.625  0.00
Mo  0.125  0.625  0.625  0.00

Computed properties:
Crystal system: cubic
Energy of formation from the pure elements (meV/atom): 250